(1)
NdSmHo2Tm4 | PBE | relaxed

Structure (CIF):
```
data_NdSmHo2Tm4
_chemical_formula_sum 'Nd4 Sm4 Ho8 Tm16'
_cell_length_a 6.7648
_cell_length_b 11.7095
_cell_length_c 13.2215
_cell_angle_alpha 90.00
_cell_angle_beta 90.00
_cell_angle_gamma 90.00
_symmetry_space_group_name_H-M 'I m m a'
_symmetry_Int_Tables_number 74
_symmetry_space_group_name_Hall '-I 2b 2'
loop_
_atom_site_label
_atom_site_type_symbol
_atom_site_fract_x
_atom_site_fract_y
_atom_site_fract_z
Nd1 Nd 0.0000 0.0000 0.0000
Sm1 Sm 0.2500 0.2500 0.2500
Ho1 Ho 0.0000 0.0000 0.5000
Ho2 Ho 0.2500 0.2500 0.7500
Tm1 Tm 0.0000 0.0025 0.7483
Tm2 Tm 0.2487 0.2500 0.5023
```

## Properties
formation energy	339.3	kJ/mol of formula units
mass density	8246	kg/m³
total magnetic moment	0.34	μB/atom

=====

(2)
NdSmHo4Tm2 | PBE | relaxed

Structure (CIF):
```
data_NdSmHo4Tm2
_chemical_formula_sum 'Nd4 Sm4 Ho16 Tm8'
_cell_length_a 13.5640
_cell_length_b 13.2272
_cell_length_c 6.7723
_cell_angle_alpha 90.00
_cell_angle_beta 119.95
_cell_angle_gamma 90.00
_symmetry_space_group_name_H-M 'C 1 2/c 1'
_symmetry_Int_Tables_number 15
loop_
_symmetry_equiv_pos_as_xyz
'x,y,z'
'-x,-y,-z'
'-x,y,-z+1/2'
'x,-y,z+1/2'
'x+1/2,y+1/2,z'
'-x+1/2,-y+1/2,-z'
'-x+1/2,y+1/2,-z+1/2'
'x+1/2,-y+1/2,z+1/2'
loop_
_atom_site_label
_atom_site_type_symbol
_atom_site_fract_x
_atom_site_fract_y
_atom_site_fract_z
Nd1 Nd 0.2500 0.2500 0.0000
Sm1 Sm 0.0000 0.0000 0.0000
Ho1 Ho 0.0002 0.2538 0.0022
Ho2 Ho 0.2466 0.4969 0.4975
Tm1 Tm 0.0000 0.5000 0.0000
Tm2 Tm 0.2500 0.2500 0.5000
```

## Properties
formation energy	336.1	kJ/mol of formula units
mass density	8152	kg/m³
total magnetic moment	0.36	μB/atom

=====

(3)
Nd6SmHoTm2 | PBE | relaxed

Structure (CIF):
```
data_Nd6SmHoTm2
_chemical_formula_sum 'Nd24 Sm4 Ho4 Tm8'
_cell_length_a 9.3155
_cell_length_b 15.2461
_cell_length_c 9.6365
_cell_angle_alpha 90.00
_cell_angle_beta 97.10
_cell_angle_gamma 90.00
_symmetry_space_group_name_H-M 'C 1 2/c 1'
_symmetry_Int_Tables_number 15
loop_
_symmetry_equiv_pos_as_xyz
'x,y,z'
'-x,-y,-z'
'-x,y,-z+1/2'
'x,-y,z+1/2'
'x+1/2,y+1/2,z'
'-x+1/2,-y+1/2,-z'
'-x+1/2,y+1/2,-z+1/2'
'x+1/2,-y+1/2,z+1/2'
loop_
_atom_site_label
_atom_site_type_symbol
_atom_site_fract_x
_atom_site_fract_y
_atom_site_fract_z
Nd1 Nd 0.0623 0.1763 0.4450
Nd2 Nd 0.0958 0.3900 0.6176
Nd3 Nd 0.2161 0.2232 0.8142
Sm1 Sm 0.0000 0.0297 0.7500
Ho1 Ho 0.0000 0.4111 0.2500
Tm1 Tm 0.2504 0.0482 0.0483
```

## Properties
formation energy	111.1	kJ/mol of formula units
mass density	7427	kg/m³
total magnetic moment	0.00	μB/atom

=====

(4)
NdSmHoTm | PBE | relaxed

Structure (CIF):
```
data_NdSmHoTm
_chemical_formula_sum 'Nd4 Sm4 Ho4 Tm4'
_cell_length_a 8.0664
_cell_length_b 8.0664
_cell_length_c 8.0664
_cell_angle_alpha 90.00
_cell_angle_beta 90.00
_cell_angle_gamma 90.00
_symmetry_space_group_name_H-M 'F -4 3 m'
_symmetry_Int_Tables_number 216
_symmetry_space_group_name_Hall 'F -4 2 3'
loop_
_atom_site_label
_atom_site_type_symbol
_atom_site_fract_x
_atom_site_fract_y
_atom_site_fract_z
Nd1 Nd 0.0000 0.0000 0.0000
Sm1 Sm 0.0000 0.0000 0.5000
Ho1 Ho 0.2500 0.2500 0.7500
Tm1 Tm 0.2500 0.2500 0.2500
```

## Properties
formation energy	42.8	kJ/mol of formula units
mass density	7954	kg/m³
total magnetic moment	0.00	μB/atom

=====

(5)
Nd6Sm2HoTm | PBE | relaxed

Structure (CIF):
```
data_Nd6Sm2HoTm
_chemical_formula_sum 'Nd24 Sm8 Ho4 Tm4'
_cell_length_a 9.2419
_cell_length_b 15.4045
_cell_length_c 9.7363
_cell_angle_alpha 90.00
_cell_angle_beta 97.90
_cell_angle_gamma 90.00
_symmetry_space_group_name_H-M 'C 1 2/c 1'
_symmetry_Int_Tables_number 15
loop_
_symmetry_equiv_pos_as_xyz
'x,y,z'
'-x,-y,-z'
'-x,y,-z+1/2'
'x,-y,z+1/2'
'x+1/2,y+1/2,z'
'-x+1/2,-y+1/2,-z'
'-x+1/2,y+1/2,-z+1/2'
'x+1/2,-y+1/2,z+1/2'
loop_
_atom_site_label
_atom_site_type_symbol
_atom_site_fract_x
_atom_site_fract_y
_atom_site_fract_z
Nd1 Nd 0.0597 0.1812 0.4457
Nd2 Nd 0.1024 0.3933 0.6181
Nd3 Nd 0.2092 0.2211 0.8101
Sm1 Sm 0.2485 0.0499 0.0439
Ho1 Ho 0.0000 0.0236 0.7500
Tm1 Tm 0.0000 0.4103 0.2500
```

## Properties
formation energy	110.9	kJ/mol of formula units
mass density	7257	kg/m³
total magnetic moment	0.00	μB/atom

=====

(6)
NdSm2Ho6Tm | PBE | relaxed

Structure (CIF):
```
data_NdSm2Ho6Tm
_chemical_formula_sum 'Nd4 Sm8 Ho24 Tm4'
_cell_length_a 9.0332
_cell_length_b 15.0092
_cell_length_c 9.6104
_cell_angle_alpha 90.00
_cell_angle_beta 98.13
_cell_angle_gamma 90.00
_symmetry_space_group_name_H-M 'C 1 2/c 1'
_symmetry_Int_Tables_number 15
loop_
_symmetry_equiv_pos_as_xyz
'x,y,z'
'-x,-y,-z'
'-x,y,-z+1/2'
'x,-y,z+1/2'
'x+1/2,y+1/2,z'
'-x+1/2,-y+1/2,-z'
'-x+1/2,y+1/2,-z+1/2'
'x+1/2,-y+1/2,z+1/2'
loop_
_atom_site_label
_atom_site_type_symbol
_atom_site_fract_x
_atom_site_fract_y
_atom_site_fract_z
Nd1 Nd 0.0000 0.0205 0.2500
Sm1 Sm 0.2488 0.0517 0.5443
Ho1 Ho 0.0658 0.1901 0.9427
Ho2 Ho 0.0994 0.3930 0.1188
Ho3 Ho 0.2058 0.2243 0.3145
Tm1 Tm 0.0000 0.4083 0.7500
```

## Properties
formation energy	113.2	kJ/mol of formula units
mass density	8257	kg/m³
total magnetic moment	0.00	μB/atom

=====

(7)
NdSmHoTm3 | PBE | relaxed

Structure (CIF):
```
data_NdSmHoTm3
_chemical_formula_sum 'Nd4 Sm4 Ho4 Tm12'
_cell_length_a 5.8193
_cell_length_b 11.2890
_cell_length_c 11.6504
_cell_angle_alpha 90.00
_cell_angle_beta 90.00
_cell_angle_gamma 90.00
_symmetry_space_group_name_H-M 'C m c m'
_symmetry_Int_Tables_number 63
_symmetry_space_group_name_Hall '-C 2c 2'
loop_
_atom_site_label
_atom_site_type_symbol
_atom_site_fract_x
_atom_site_fract_y
_atom_site_fract_z
Nd1 Nd 0.0000 0.0000 0.0000
Sm1 Sm 0.0000 0.4968 0.2500
Ho1 Ho 0.0000 0.1749 0.2500
Tm1 Tm 0.0000 0.1710 0.7500
Tm2 Tm 0.0000 0.3280 0.5031
```

## Properties
formation energy	67.0	kJ/mol of formula units
mass density	8386	kg/m³
total magnetic moment	0.00	μB/atom

=====

(8)
Nd3SmHo6Tm2 | PBE | relaxed

Structure (CIF):
```
data_Nd3SmHo6Tm2
_chemical_formula_sum 'Nd6 Sm2 Ho12 Tm4'
_cell_length_a 6.1812
_cell_length_b 10.6997
_cell_length_c 11.7907
_cell_angle_alpha 90.00
_cell_angle_beta 100.03
_cell_angle_gamma 90.00
_symmetry_space_group_name_H-M 'C 1 2/m 1'
_symmetry_Int_Tables_number 12
loop_
_symmetry_equiv_pos_as_xyz
'x,y,z'
'-x,-y,-z'
'-x,y,-z'
'x,-y,z'
'x+1/2,y+1/2,z'
'-x+1/2,-y+1/2,-z'
'-x+1/2,y+1/2,-z'
'x+1/2,-y+1/2,z'
loop_
_atom_site_label
_atom_site_type_symbol
_atom_site_fract_x
_atom_site_fract_y
_atom_site_fract_z
Nd1 Nd 0.0000 0.0000 0.0000
Nd2 Nd 0.0000 0.3331 0.0000
Sm1 Sm 0.0000 0.5000 0.5000
Ho1 Ho 0.2480 0.0000 0.7463
Ho2 Ho 0.2491 0.3330 0.7464
Tm1 Tm 0.0000 0.1668 0.5000
```

## Properties
formation energy	23.0	kJ/mol of formula units
mass density	8263	kg/m³
total magnetic moment	0.00	μB/atom

=====

(9)
Nd6SmHo2Tm | PBE | relaxed

Structure (CIF):
```
data_Nd6SmHo2Tm
_chemical_formula_sum 'Nd24 Sm4 Ho8 Tm4'
_cell_length_a 9.2970
_cell_length_b 15.3172
_cell_length_c 9.6411
_cell_angle_alpha 90.00
_cell_angle_beta 97.05
_cell_angle_gamma 90.00
_symmetry_space_group_name_H-M 'C 1 2/c 1'
_symmetry_Int_Tables_number 15
loop_
_symmetry_equiv_pos_as_xyz
'x,y,z'
'-x,-y,-z'
'-x,y,-z+1/2'
'x,-y,z+1/2'
'x+1/2,y+1/2,z'
'-x+1/2,-y+1/2,-z'
'-x+1/2,y+1/2,-z+1/2'
'x+1/2,-y+1/2,z+1/2'
loop_
_atom_site_label
_atom_site_type_symbol
_atom_site_fract_x
_atom_site_fract_y
_atom_site_fract_z
Nd1 Nd 0.0607 0.1780 0.4454
Nd2 Nd 0.0977 0.3903 0.6172
Nd3 Nd 0.2149 0.2220 0.8120
Sm1 Sm 0.0000 0.0276 0.7500
Ho1 Ho 0.2484 0.4510 0.9528
Tm1 Tm 0.0000 0.4120 0.2500
```

## Properties
formation energy	111.4	kJ/mol of formula units
mass density	7383	kg/m³
total magnetic moment	0.00	μB/atom

=====

(10)
Nd2SmHo4Tm2 | PBE | relaxed

Structure (CIF):
```
data_Nd2SmHo4Tm2
_chemical_formula_sum 'Nd2 Sm1 Ho4 Tm2'
_cell_length_a 5.9983
_cell_length_b 6.6094
_cell_length_c 8.5840
_cell_angle_alpha 79.98
_cell_angle_beta 70.38
_cell_angle_gamma 64.98
_symmetry_space_group_name_H-M 'P -1'
_symmetry_Int_Tables_number 2
loop_
_symmetry_equiv_pos_as_xyz
'x,y,z'
'-x,-y,-z'
loop_
_atom_site_label
_atom_site_type_symbol
_atom_site_fract_x
_atom_site_fract_y
_atom_site_fract_z
Nd1 Nd 0.2314 0.3264 0.3429
Sm1 Sm 0.5000 0.0000 0.0000
Ho1 Ho 0.1185 0.1287 0.7601
Ho2 Ho 0.2381 0.5779 0.8843
Tm1 Tm 0.3201 0.7697 0.4459
```

## Properties
formation energy	72.2	kJ/mol of formula units
mass density	8217	kg/m³
total magnetic moment	0.00	μB/atom

=====

(11)
NdSm5Ho2Tm | PBE | relaxed

Structure (CIF):
```
data_NdSm5Ho2Tm
_chemical_formula_sum 'Nd4 Sm20 Ho8 Tm4'
_cell_length_a 5.6258
_cell_length_b 20.2221
_cell_length_c 10.7057
_cell_angle_alpha 90.00
_cell_angle_beta 90.00
_cell_angle_gamma 90.00
_symmetry_space_group_name_H-M 'C m c 21'
_symmetry_Int_Tables_number 36
loop_
_symmetry_equiv_pos_as_xyz
'x,y,z'
'-x,-y,z+1/2'
'-x,y,z'
'x,-y,z+1/2'
'x+1/2,y+1/2,z'
'-x+1/2,-y+1/2,z+1/2'
'-x+1/2,y+1/2,z'
'x+1/2,-y+1/2,z+1/2'
loop_
_atom_site_label
_atom_site_type_symbol
_atom_site_fract_x
_atom_site_fract_y
_atom_site_fract_z
Nd1 Nd 0.0000 0.2015 0.0000
Sm1 Sm 0.0000 0.0167 0.0134
Sm2 Sm 0.0000 0.2817 0.2975
Sm3 Sm 0.0000 0.2983 0.6953
Sm4 Sm 0.0000 0.3922 0.0150
Sm5 Sm 0.0000 0.4798 0.7321
Ho1 Ho 0.0000 0.1095 0.7287
Ho2 Ho 0.0000 0.1155 0.3073
Tm1 Tm 0.0000 0.4109 0.4493
```

## Properties
formation energy	128.4	kJ/mol of formula units
mass density	7607	kg/m³
total magnetic moment	0.00	μB/atom

=====

(12)
NdSm2HoTm | PBE | relaxed

Structure (CIF):
```
data_NdSm2HoTm
_chemical_formula_sum 'Nd4 Sm8 Ho4 Tm4'
_cell_length_a 8.4339
_cell_length_b 11.5496
_cell_length_c 7.2487
_cell_angle_alpha 90.00
_cell_angle_beta 90.00
_cell_angle_gamma 90.00
_symmetry_space_group_name_H-M 'C m c m'
_symmetry_Int_Tables_number 63
_symmetry_space_group_name_Hall '-C 2c 2'
loop_
_atom_site_label
_atom_site_type_symbol
_atom_site_fract_x
_atom_site_fract_y
_atom_site_fract_z
Nd1 Nd 0.0000 0.2275 0.2500
Sm1 Sm 0.1934 0.0000 0.0000
Ho1 Ho 0.0000 0.2285 0.7500
Tm1 Tm 0.0000 0.4963 0.2500
```

## Properties
formation energy	185.6	kJ/mol of formula units
mass density	7326	kg/m³
total magnetic moment	0.00	μB/atom

=====

Which formula does entry 8 have? Nd3SmHo6Tm2

=====

The highest formation energy belongs to which entry? NdSmHo2Tm4

=====

Which formula does entry 11 have? NdSm5Ho2Tm

=====

Which of these has the lowest formation energy? Nd3SmHo6Tm2